DFT (GGA+U) results for CrC2F after structural relaxation.

Lattice parameters (Å, degrees): 5.618 5.618 5.618 131.39 131.39 71.19
Sites, in units of the cell vectors:
Cr 0.000 0.000 0.000
Cr 0.750 0.250 0.500
C 0.057 0.625 0.932
C 0.375 0.307 0.432
C 0.693 0.125 0.068
C 0.875 0.943 0.568
F 0.250 0.750 0.500
F 0.500 0.500 0.000

Its space-group type is I-42d. The value obtained for the total energy is -5.128 eV per atom. The calculation puts the calculated volume at 98 Å³ per cell.